First-principles (PBE) data for a relaxed MnCo2P2 crystal, as listed in Alexandria via LeMat-Bulk.

The structure in CIF format:
```
data_MnCo2P2
_cell_length_a 6.4184
_cell_length_b 6.4184
_cell_length_c 2.6971
_cell_angle_alpha 90.00
_cell_angle_beta 90.00
_cell_angle_gamma 90.00
_symmetry_space_group_name_H-M 'P 1'
_symmetry_Int_Tables_number 1
_symmetry_space_group_name_Hall 'P 1'
loop_
_atom_site_label
_atom_site_fract_x
_atom_site_fract_y
_atom_site_fract_z
Mn1 0.0000 0.0000 0.0000
Mn2 0.5000 0.5000 0.0000
Co1 0.1390 0.3610 0.5000
Co2 0.3610 0.8610 0.5000
Co3 0.6390 0.1390 0.5000
Co4 0.8610 0.6390 0.5000
P1 0.1564 0.6564 0.0000
P2 0.3436 0.1564 0.0000
P3 0.6564 0.8436 0.0000
P4 0.8436 0.3436 0.0000
```

***

First-principles (PBE) data for a relaxed Mn2CoP8 crystal, as listed in Alexandria via LeMat-Bulk.

The structure in CIF format:
```
data_Mn2CoP8
_cell_length_a 6.9767
_cell_length_b 6.9767
_cell_length_c 3.9118
_cell_angle_alpha 92.48
_cell_angle_beta 92.48
_cell_angle_gamma 61.69
_symmetry_space_group_name_H-M 'P 1'
_symmetry_Int_Tables_number 1
_symmetry_space_group_name_Hall 'P 1'
loop_
_atom_site_label
_atom_site_fract_x
_atom_site_fract_y
_atom_site_fract_z
Mn1 0.1947 0.1947 0.0460
Mn2 0.8053 0.8053 0.9540
Co1 0.5000 0.5000 0.0000
P1 0.0871 0.0871 0.5281
P2 0.1625 0.5554 0.9245
P3 0.3030 0.3030 0.5312
P4 0.4446 0.8375 0.0755
P5 0.5554 0.1625 0.9245
P6 0.6970 0.6970 0.4688
P7 0.8375 0.4446 0.0755
P8 0.9129 0.9129 0.4719
```

***

First-principles (PBE) data for a relaxed Pa2MnCo4P3 crystal, as listed in Alexandria via LeMat-Bulk.

The structure in CIF format:
```
data_Pa2MnCo4P3
_cell_length_a 3.8514
_cell_length_b 3.8514
_cell_length_c 9.5095
_cell_angle_alpha 90.00
_cell_angle_beta 90.00
_cell_angle_gamma 90.00
_symmetry_space_group_name_H-M 'P 1'
_symmetry_Int_Tables_number 1
_symmetry_space_group_name_Hall 'P 1'
loop_
_atom_site_label
_atom_site_fract_x
_atom_site_fract_y
_atom_site_fract_z
Pa1 0.0000 0.5000 0.2489
Pa2 0.5000 0.0000 0.7511
Mn1 0.0000 0.0000 0.5000
Co1 0.0000 0.0000 0.0000
Co2 0.0000 0.5000 0.6380
Co3 0.5000 0.0000 0.3620
Co4 0.5000 0.5000 0.0000
P1 0.0000 0.5000 0.8720
P2 0.5000 0.0000 0.1280
P3 0.5000 0.5000 0.5000
```

***

no.,energy relative to the elements (eV/atom),DFT total energy (eV per atom)
1,-0.31,-7.15
2,-0.03,-6.28
3,-0.86,-8.14